Na2TeW2O9 | PBE with a Hubbard U | optimized geometry

extended XYZ file:
```
112
Lattice="16.846 -3.730 0.000 16.846 3.730 0.000 -4.351 0.000 12.531" Properties=species:S:1:pos:R:3 pbc="T T T"
Na 14.670 3.681 6.266
Na 2.077 0.257 2.983
Na -0.098 -0.257 9.249
Na 10.075 1.810 10.628
Na 4.760 0.160 6.106
Na 2.584 -0.160 12.372
Na 7.110 0.241 8.777
Na 9.286 -0.241 2.511
Na 17.994 1.908 6.272
Na 19.291 0.291 3.183
Na 17.116 -0.291 9.448
Na 12.251 -1.810 4.362
Na 20.170 -1.908 0.006
Na 30.136 0.162 1.037
Na 27.960 -0.162 7.303
Na 16.846 -3.681 0.000
Te 13.087 0.066 1.327
Te 10.911 -0.066 7.592
Te 17.139 0.029 0.186
Te 14.963 -0.029 6.451
Te 21.168 0.067 6.041
Te 18.993 -0.067 12.306
Te 24.409 0.263 8.999
Te 26.585 -0.263 2.734
W 6.315 1.993 11.902
W 8.360 1.656 5.503
W 12.203 1.894 4.138
W 15.997 1.992 3.382
W 13.569 1.824 9.593
W 20.235 2.077 0.048
W 20.081 1.877 9.261
W 22.461 1.909 3.094
W 6.184 -1.656 11.769
W 8.490 -1.993 5.636
W 10.027 -1.894 10.404
W 15.745 -1.824 3.327
W 13.821 -1.992 9.648
W 18.059 -2.077 6.314
W 22.257 -1.877 2.996
W 20.285 -1.909 9.360
O 6.251 1.446 1.445
O 13.364 3.665 10.238
O 0.030 0.395 6.829
O 4.685 1.419 8.152
O 2.518 0.578 5.722
O 10.067 2.056 4.081
O 9.767 1.597 0.879
O 7.087 1.336 6.690
O 2.206 -0.395 0.563
O 12.466 1.601 0.152
O 15.959 2.337 1.615
O 9.917 1.363 6.774
O 13.838 1.854 3.275
O 5.431 0.011 3.743
O 11.877 1.811 8.767
O 3.255 -0.011 10.008
O 0.342 -0.578 11.987
O 14.650 2.252 8.211
O 6.439 0.166 11.177
O 17.767 2.089 3.764
O 12.509 1.361 11.384
O 15.558 1.456 5.394
O 8.615 -0.166 4.911
O 11.739 0.323 2.666
O 15.176 1.692 10.842
O 12.279 0.523 5.324
O 20.924 1.992 1.971
O 18.355 1.876 8.712
O 4.075 -1.446 7.710
O 6.861 -1.419 1.887
O 9.563 -0.323 8.932
O 9.263 -1.336 0.424
O 21.053 1.381 4.658
O 10.103 -0.523 11.589
O 15.954 0.074 3.054
O 18.897 0.481 0.788
O 19.523 1.399 11.217
O 7.592 -1.597 7.145
O 13.778 -0.074 9.320
O 22.082 1.648 10.234
O 12.093 -1.363 0.509
O 23.806 1.515 4.544
O 10.290 -1.601 6.418
O 17.116 0.266 12.266
O 7.891 -2.056 10.347
O 16.722 -0.481 7.054
O 26.569 1.275 3.862
O 19.291 -0.266 6.001
O 14.685 -1.361 5.118
O 14.053 -1.811 2.502
O 11.662 -1.854 9.540
O 22.544 0.008 2.731
O 20.368 -0.008 8.997
O 13.382 -1.456 11.660
O 17.352 -1.692 4.576
O 23.323 0.158 12.262
O 13.783 -2.337 7.880
O 16.826 -2.252 1.945
O 26.298 0.361 8.880
O 25.499 -0.158 5.996
O 15.591 -2.089 10.029
O 18.877 -1.381 10.924
O 27.103 0.454 11.552
O 21.698 -1.399 4.952
O 20.531 -1.876 2.447
O 18.748 -1.992 8.237
O 28.474 -0.361 2.615
O 21.631 -1.515 10.810
O 24.258 -1.648 3.968
O 29.279 -0.454 5.287
O 15.540 -3.665 3.972
O 24.393 -1.275 10.128
```

## Properties
- Space group: Cc, No. 9
- Magnetization: 0.000 μB/atom
- E: -0.4738 Ry per atom